Na2BiHOs: optimized geometry, PBE.

It has space group P4/mmm (No. 123), with a = 5.807 Å, b = 5.807 Å, c = 5.083 Å, α = 90.00°, β = 90.00° and γ = 90.00°. The distinct sites, in fractional coordinates, are Na at (0.000, 0.500, 0.000), Bi at (0.000, 0.000, 0.500), H at (0.500, 0.500, 0.500) and Os at (0.000, 0.000, 0.000).

For the density of states at the Fermi level, the calculation gives 2.48 states/eV per cell. As for the magnetic moment: 1.003 μB per cell. For the total energy, the calculation gives -16.0 eV for the cell shown.